Computed, not measured: a geometry-optimized TbAlIn structure at the PBE level of DFT.

POSCAR file:
```
TbAlIn
1.0
4.3908 -0.0212 -0.0523
-0.0425 4.3907 -0.0523
-2.0761 -2.0862 8.1866
In Tb Al
2 2 2
Cartesian
3.2830 3.2990 1.8030
-1.0108 -1.0157 6.2789
1.1701 1.1758 6.8445
1.1021 1.1075 1.2374
2.1176 2.1279 4.0183
0.1546 0.1554 4.0637
```

SG: Fmmm (69)
ΔE_f: -0.1285 eV per atom

Computed, not measured: a geometry-optimized TbAlIn structure at the PBE level of DFT.

POSCAR file:
```
TbAlIn
1.0
3.4654 0.0000 0.0000
0.0000 3.4654 0.0000
-1.7327 -1.7327 5.9446
In Al Tb
1 1 1
Cartesian
0.0000 0.0000 3.7658
1.7327 1.7327 2.0810
0.0000 0.0000 0.0978
```

SG: I4mm (107)
ΔE_f: -0.2327 eV per atom

Computed, not measured: a geometry-optimized Tb3Al2In structure at the PBE level of DFT.

POSCAR file:
```
Tb3Al2In
1.0
3.6270 0.0000 0.0000
0.0000 3.6270 0.0000
0.0000 0.0000 11.2747
Tb Al In
3 2 1
Cartesian
0.0000 0.0000 3.6258
0.0000 0.0000 0.0000
0.0000 0.0000 7.6488
1.8135 1.8135 9.4626
1.8135 1.8135 1.8120
1.8135 1.8135 5.6373
```

SG: P4/mmm (123)
ΔE_f: -0.4197 eV per atom

Computed, not measured: a geometry-optimized Tb4AlIn structure at the PBE level of DFT.

POSCAR file:
```
Tb4AlIn
1.0
3.3717 0.0000 0.9752
2.1738 6.8198 -1.1995
-0.5126 -3.4269 8.0886
Tb In Al
4 1 1
Cartesian
4.0610 4.3211 4.9083
0.9719 -0.9282 2.9560
1.5281 2.6954 1.0330
3.5048 0.6975 6.8313
0.0000 0.0000 0.0000
2.5164 1.6965 3.9321
```

energy above the most stable polymorph in this dataset: 0 meV per atom
SG: C2/m (12)
ΔE_f: -0.2687 eV per atom

Computed, not measured: a geometry-optimized Tb8Al2In structure at the PBE level of DFT.

POSCAR file:
```
Tb8Al2In
1.0
5.4776 -0.2635 -0.3955
-1.2796 8.2905 -0.4395
-1.2796 -3.5986 7.4817
Tb Al In
8 2 1
Cartesian
1.4592 -1.0573 5.5029
2.8877 2.0577 6.1848
2.8877 4.9151 4.2810
0.0306 2.3706 0.4619
1.4592 5.4856 1.1437
2.8129 1.6771 2.5172
0.0306 -0.4868 2.3656
0.1054 2.7512 4.1294
-1.2796 0.0459 5.0535
-1.2796 4.6460 1.9886
2.7388 -0.1318 -0.1978
```

energy above the most stable polymorph in this dataset: 60 meV per atom
SG: C2/m (12)
ΔE_f: -0.1221 eV per atom

Computed, not measured: a geometry-optimized Tb3Al2In4 structure at the PBE level of DFT.

POSCAR file:
```
Tb3Al2In4
1.0
4.8463 0.0000 0.0000
-2.4232 5.1309 -1.9823
0.0000 -0.8611 9.0187
In Tb Al
4 3 2
Cartesian
0.0000 0.3480 3.2928
0.0000 2.1921 7.4186
2.4232 2.0777 -0.3822
2.4232 3.9218 3.7436
2.4232 1.1233 5.3570
0.0000 3.1464 1.6794
0.0000 0.0000 0.0000
0.0000 3.3919 4.9472
2.4232 0.8779 2.0892
```

SG: C2/m (12)
ΔE_f: -0.4192 eV per atom

Short version: magnetization = 0.000 0.000 0.000 0.000 0.001 0.000 μB per formula unit, in the order given.